Entry 1:
First-principles (PBE-GGA) data for ZrSiB2 after structural relaxation, as listed in Alexandria.

Values from the calculation:
Mass density, kg/m³: 4507
Fermi-level density of states, states/eV per cell: 5.13
Volume, Å³/f.u.: 52
Size of the total moment, μB/cell: 0.000
E, eV per atom: -6.680

Cell: 5.889 5.889 5.129 Å, 54.97 54.97 90.00°
Fractional coordinates of all 8 atoms:
Zr 0.750 0.250 0.500
B 0.875 0.822 0.750
Zr 0.000 0.000 0.000
B 0.572 0.125 0.250
Si 0.500 0.500 0.000
Si 0.250 0.750 0.500
B 0.375 0.428 0.750
B 0.178 0.625 0.250

***

Entry 2:
First-principles (PBE-GGA) data for ZrSi3B after structural relaxation, as listed in Alexandria.

Values from the calculation:
Mass density, kg/m³: 2379
Fermi-level density of states, states/eV per cell: 2.61
Volume, Å³/f.u.: 130
Size of the total moment, μB/cell: 0.000
Polymorph energy (0 for the lowest one), meV/atom: 1227

Cell: 5.066 5.066 5.066 Å, 90.00 90.00 90.00°
Fractional coordinates of all 5 atoms:
Si 0.000 0.000 0.500
Si 0.000 0.500 0.000
Si 0.500 0.000 0.000
Zr 0.000 0.000 0.000
B 0.500 0.500 0.500

***

Entry 3:
First-principles (PBE-GGA) data for ZrSi3B after structural relaxation, as listed in Alexandria.

Values from the calculation:
Mass density, kg/m³: 4132
Fermi-level density of states, states/eV per cell: 3.43
Volume, Å³/f.u.: 75
Size of the total moment, μB/cell: 0.000
Polymorph energy (0 for the lowest one), meV/atom: 0

Cell: 4.215 4.215 4.215 Å, 90.00 90.00 90.00°
Fractional coordinates of all 5 atoms:
Si 0.500 0.000 0.000
Zr 0.500 0.500 0.500
Si 0.000 0.000 0.500
Si 0.000 0.500 0.000
B 0.000 0.000 0.000

***

Entry 4:
First-principles (PBE-GGA) data for ZrSi2B after structural relaxation, as listed in Alexandria.

Values from the calculation:
Mass density, kg/m³: 4498
Fermi-level density of states, states/eV per cell: 2.49
Volume, Å³/f.u.: 58
Size of the total moment, μB/cell: 0.000
E, eV per atom: -6.630

Cell: 6.435 6.435 5.354 Å, 53.06 53.06 90.00°
Fractional coordinates of all 8 atoms:
B 0.500 0.500 0.000
Si 0.875 0.791 0.750
Zr 0.000 0.000 0.000
B 0.250 0.750 0.500
Si 0.541 0.125 0.250
Si 0.375 0.459 0.750
Si 0.209 0.625 0.250
Zr 0.750 0.250 0.500

***

Entry 5:
First-principles (PBE-GGA) data for ZrSiB3 after structural relaxation, as listed in Alexandria.

Values from the calculation:
Mass density, kg/m³: 2896
Fermi-level density of states, states/eV per cell: 1.93
Volume, Å³/f.u.: 87
Size of the total moment, μB/cell: 0.000
Polymorph energy (0 for the lowest one), meV/atom: 1093

Cell: 4.431 4.431 4.431 Å, 90.00 90.00 90.00°
Fractional coordinates of all 5 atoms:
B 0.500 0.000 0.000
B 0.000 0.500 0.000
Si 0.500 0.500 0.500
Zr 0.000 0.000 0.000
B 0.000 0.000 0.500

***

Entry 6:
First-principles (PBE-GGA) data for SmB4 after structural relaxation, as listed in Alexandria.

Values from the calculation:
Mass density, kg/m³: 6100
Fermi-level density of states, states/eV per cell: 2.45
Volume, Å³/f.u.: 53
Size of the total moment, μB/cell: 0.000
Energy of formation from the pure elements, meV/atom: -581
Polymorph energy (0 for the lowest one), meV/atom: 0

Cell: 7.188 7.188 4.081 Å, 90.00 90.00 90.00°
Fractional coordinates of all 20 atoms:
B 0.588 0.088 0.500
B 0.461 0.675 0.500
B 0.500 0.500 0.796
B 0.825 0.039 0.500
B 0.088 0.412 0.500
B 0.000 0.000 0.796
Sm 0.318 0.182 0.000
B 0.539 0.325 0.500
Sm 0.682 0.818 0.000
B 0.912 0.588 0.500
B 0.412 0.912 0.500
Sm 0.818 0.318 0.000
Sm 0.182 0.682 0.000
B 0.000 0.000 0.204
B 0.961 0.825 0.500
B 0.039 0.175 0.500
B 0.325 0.461 0.500
B 0.675 0.539 0.500
B 0.175 0.961 0.500
B 0.500 0.500 0.204